# TlGa2Te2 (PBE, relaxed)
data_TlGa2Te2
_cell_length_a 4.643
_cell_length_b 4.643
_cell_length_c 14.680
_cell_angle_alpha 90.00
_cell_angle_beta 90.00
_cell_angle_gamma 90.00
_space_group_name_H-M_alt 'I 4/m m m'
_space_group_IT_number 139
_space_group_name_Hall '-I 4 2'
loop_
_atom_site_label
_atom_site_type_symbol
_atom_site_fract_x
_atom_site_fract_y
_atom_site_fract_z
_atom_site_occupancy
Tl1 Tl 0.000 0.000 0.000 1
Ga1 Ga 0.000 0.500 0.250 1
Te1 Te 0.000 0.000 0.381 1
# relative energy among the computed polymorphs	49	kJ/mol of formula units
# ΔE_f (raw)	-0.0934	eV/atom
# theoretical density	6.3	Mg/m³
# uncorrected energy	-30.34	eV/cell